Entry from OQMD via LeMat-Bulk: crystalline GdHPb at its relaxed geometry (PBE).

POSCAR file:
```
GdHPb
1.0
3.7207 0.0000 0.0000
-1.8604 3.2222 0.0000
0.0000 0.0000 5.1947
Gd H Pb
1 1 1
direct
0.0000 0.0000 0.0000
0.6667 0.3333 0.0000
0.3333 0.6667 0.5000
```

Properties
**Theoretical density**: 9.74 g/cm3
**Energy**: -4.45 eV/atom